The following is a PBE calculation of a geometry-optimized Cd2CoMo structure, from Alexandria.

Results
* symmetry: Immm, No. 71
* energy of formation from the pure elements: 0.52 eV per atom
* energy relative to the lowest polymorph listed for this composition: 31.94 kJ per mole of atoms
* crystal system: orthorhombic

Cell: 5.626 5.626 5.626 Å, 150.20 130.71 58.67°
Positions (direct):
Cd  0.976  0.976  0.000
Cd  0.524  0.524  0.000
Co  0.750  0.250  0.500
Mo  0.250  0.750  0.500